(1)
Mn2BeMoH: relaxed, GGA-PBE.

Cell: 3.8705 3.8705 3.1955 Å, 90.00 90.00 90.00°
Fractional coordinates of all 5 atoms:
Mn: 0.0000 0.5000 0.0000
Mn: 0.5000 0.0000 0.0000
Be: 0.0000 0.0000 0.5000
Mo: 0.5000 0.5000 0.5000
H: 0.0000 0.0000 0.0000

Computed properties:
- Raw total energy: -0.527 Ry/atom
- DOS at the Fermi energy: 0.48 states/eV/atom

(2)
SrLiCa2Ni: relaxed, GGA-PBE.

Cell: 5.4561 5.4561 5.4485 Å, 90.00 90.00 90.00°
Fractional coordinates of all 5 atoms:
Sr: 0.0000 0.0000 0.0000
Li: 0.5000 0.5000 0.0000
Ca: 0.0000 0.5000 0.5000
Ca: 0.5000 0.0000 0.5000
Ni: 0.5000 0.5000 0.5000

Computed properties:
- Raw total energy: -0.191 Ry/atom
- Distance to the lowest polymorph of the same formula: 69 meV/atom
- DOS at the Fermi energy: 0.79 states/eV/atom
- E_form: 0.074 eV/atom

(3)
CdTeF2: relaxed, GGA-PBE.

Cell: 5.9018 5.9018 5.9018 Å, 107.64 107.64 113.20°
Fractional coordinates of all 8 atoms:
Cd: 0.0000 0.0000 0.0000
Cd: 0.7500 0.2500 0.5000
Te: 0.2500 0.7500 0.5000
Te: 0.5000 0.5000 0.0000
F: 0.0308 0.1250 0.4058
F: 0.3750 0.9692 0.0942
F: 0.7192 0.6250 0.5942
F: 0.8750 0.2808 0.9058

Computed properties:
- Raw total energy: -0.227 Ry/atom
- Distance to the lowest polymorph of the same formula: 33 meV/atom
- Formation energy (no corrections): -109 kJ per mole of atoms
- DOS at the Fermi energy: 0.05 states/eV/atom

(4)
GaCo2HOs: relaxed, GGA-PBE.

Cell: 3.7155 3.7155 3.8027 Å, 90.00 90.00 90.00°
Fractional coordinates of all 5 atoms:
Ga: 0.0000 0.0000 0.0000
Co: 0.0000 0.5000 0.5000
Co: 0.5000 0.0000 0.5000
H: 0.5000 0.5000 0.5000
Os: 0.5000 0.5000 0.0000

Computed properties:
- Raw total energy: -0.461 Ry/atom
- DOS at the Fermi energy: 1.44 states/eV/atom

(5)
SrGaHgBi: relaxed, GGA-PBE.

Cell: 5.5675 5.5675 5.5675 Å, 60.00 60.00 60.00°
Fractional coordinates of all 4 atoms:
Sr: 0.0000 0.0000 0.0000
Ga: 0.5000 0.5000 0.5000
Hg: 0.2500 0.2500 0.2500
Bi: 0.7500 0.7500 0.7500

Computed properties:
- Raw total energy: -0.189 Ry/atom
- DOS at the Fermi energy: 0.22 states/eV/atom
- E_form: -0.347 eV/atom

(6)
CaMnPb: relaxed, GGA-PBE.

Cell: 4.8845 4.8845 3.7245 Å, 90.00 90.00 120.00°
Fractional coordinates of all 3 atoms:
Ca: 0.0000 0.0000 0.0000
Mn: 0.6667 0.3333 0.5000
Pb: 0.3333 0.6667 0.5000

Computed properties:
- Raw total energy: -0.364 Ry/atom
- DOS at the Fermi energy: 0.78 states/eV/atom
- E_form: 0.014 eV/atom

(7)
MnVPCl2: relaxed, GGA-PBE.

Cell: 4.5399 4.5399 5.0694 Å, 90.00 90.00 90.00°
Fractional coordinates of all 5 atoms:
Mn: 0.0000 0.0000 0.0000
V: 0.5000 0.5000 0.5000
P: 0.0000 0.0000 0.5000
Cl: 0.0000 0.5000 0.0000
Cl: 0.5000 0.0000 0.0000

Computed properties:
- Raw total energy: -0.384 Ry/atom
- Distance to the lowest polymorph of the same formula: 256 meV/atom
- Formation energy (no corrections): 24 kJ per mole of atoms
- DOS at the Fermi energy: 0.56 states/eV/atom

(8)
Na2SiF5: relaxed, GGA-PBE.

Cell: 5.1548 5.3628 5.4458 Å, 93.08 115.75 116.26°
Fractional coordinates of all 8 atoms:
Na: 0.0000 0.0000 0.0000
Na: 0.0536 0.5582 0.5416
Si: 0.5163 0.2844 0.7729
F: 0.1274 0.0590 0.4598
F: 0.4348 0.9947 0.9246
F: 0.5970 0.5698 0.6175
F: 0.7055 0.1692 0.6436
F: 0.9086 0.5111 0.0843

Computed properties:
- Raw total energy: -0.358 Ry/atom
- Formation energy (no corrections): -259 kJ per mole of atoms
- DOS at the Fermi energy: 0.01 states/eV/atom

Among the records above, which one has the lowest DOS at the Fermi energy?
Na2SiF5

Please write out number 7 again, unchanged.
MnVPCl2: relaxed, GGA-PBE.

Cell: 4.5399 4.5399 5.0694 Å, 90.00 90.00 90.00°
Fractional coordinates of all 5 atoms:
Mn: 0.0000 0.0000 0.0000
V: 0.5000 0.5000 0.5000
P: 0.0000 0.0000 0.5000
Cl: 0.0000 0.5000 0.0000
Cl: 0.5000 0.0000 0.0000

Computed properties:
- Raw total energy: -0.384 Ry/atom
- Distance to the lowest polymorph of the same formula: 256 meV/atom
- Formation energy (no corrections): 24 kJ per mole of atoms
- DOS at the Fermi energy: 0.56 states/eV/atom

Repeat the eighth record exactly.
Na2SiF5: relaxed, GGA-PBE.

Cell: 5.1548 5.3628 5.4458 Å, 93.08 115.75 116.26°
Fractional coordinates of all 8 atoms:
Na: 0.0000 0.0000 0.0000
Na: 0.0536 0.5582 0.5416
Si: 0.5163 0.2844 0.7729
F: 0.1274 0.0590 0.4598
F: 0.4348 0.9947 0.9246
F: 0.5970 0.5698 0.6175
F: 0.7055 0.1692 0.6436
F: 0.9086 0.5111 0.0843

Computed properties:
- Raw total energy: -0.358 Ry/atom
- Formation energy (no corrections): -259 kJ per mole of atoms
- DOS at the Fermi energy: 0.01 states/eV/atom

What is the DOS at the Fermi energy in the fourth record?
1.44 states/eV/atom